# Ce2TmSn PBE relaxed
# energy above the lowest structure with this stoichiometry: 239 meV per atom
# N(E_F): 55.655 states/eV per cell
# raw total energy: -83.9 eV per cell
# ΔH_f (0 K): -0.157 eV/atom
data_Ce2TmSn
_chemical_formula_sum 'Ce8 Tm4 Sn4'
_space_group_name_H-M_alt 'F m -3 m'
_space_group_IT_number 225
_space_group_name_Hall '-F 4 2 3'
_cell_length_a 7.7074
_cell_length_b 7.7074
_cell_length_c 7.7074
_cell_angle_alpha 90.00
_cell_angle_beta 90.00
_cell_angle_gamma 90.00
loop_
_atom_site_label
_atom_site_type_symbol
_atom_site_fract_x
_atom_site_fract_y
_atom_site_fract_z
_atom_site_occupancy
Ce1 Ce 0.2500 0.2500 0.2500 1
Tm1 Tm 0.0000 0.0000 0.0000 1
Sn1 Sn 0.0000 0.0000 0.5000 1